No. 1
An optimized crystal structure of TlAg3Br4, computed with PBE.

a = 9.220 Å, b = 7.961 Å, c = 7.667 Å
α = 90.00°, β = 90.00°, γ = 90.00°
Space group Pmn2_1 (No. 31)
One atom of each set of equivalent atoms:
Tl1 0.000 0.167 0.000 (multiplicity 2)
Ag1 0.000 0.814 0.515 (multiplicity 2)
Ag2 0.249 0.335 0.523 (multiplicity 4)
Br1 0.000 0.154 0.568 (multiplicity 2)
Br2 0.000 0.790 0.159 (multiplicity 2)
Br3 0.224 0.647 0.667 (multiplicity 4)


No. 2
An optimized crystal structure of Tl2Ag3Br8, computed with PBE.

a = 9.427 Å, b = 12.054 Å, c = 8.475 Å
α = 90.00°, β = 116.56°, γ = 90.00°
Space group P2_1/c (No. 14)
One atom of each set of equivalent atoms:
Tl1 0.244 0.117 0.372 (multiplicity 4)
Ag1 0.246 0.750 0.123 (multiplicity 4)
Ag2 0.500 0.000 0.000 (multiplicity 2)
Br1 0.021 0.746 0.760 (multiplicity 4)
Br2 0.258 0.516 0.611 (multiplicity 4)
Br3 0.259 0.516 0.147 (multiplicity 4)
Br4 0.488 0.741 0.494 (multiplicity 4)


No. 3
An optimized crystal structure of TlAg3Br9, computed with PBE.

a = 20.966 Å, b = 7.912 Å, c = 13.898 Å
α = 90.00°, β = 129.57°, γ = 90.00°
Space group Cc (No. 9)
One atom of each set of equivalent atoms:
Tl1 0.000 0.214 0.000 (multiplicity 4)
Ag1 0.037 0.337 0.665 (multiplicity 4)
Ag2 0.268 0.347 0.781 (multiplicity 4)
Ag3 0.418 0.081 0.758 (multiplicity 4)
Br1 0.028 0.343 0.229 (multiplicity 4)
Br2 0.084 0.082 0.591 (multiplicity 4)
Br3 0.126 0.429 0.085 (multiplicity 4)
Br4 0.194 0.310 0.888 (multiplicity 4)
Br5 0.226 0.018 0.986 (multiplicity 4)
Br6 0.274 0.274 0.598 (multiplicity 4)
Br7 0.347 0.363 0.412 (multiplicity 4)
Br8 0.399 0.113 0.930 (multiplicity 4)
Br9 0.445 0.261 0.255 (multiplicity 4)


No. 4
An optimized crystal structure of Tl2AgBr, computed with PBE.

a = 4.284 Å, b = 4.694 Å, c = 6.358 Å
α = 90.00°, β = 90.00°, γ = 90.00°
Space group Pmmm (No. 47)
One atom of each set of equivalent atoms:
Tl1 0.000 0.000 0.000 (multiplicity 1)
Tl2 0.500 0.500 0.500 (multiplicity 1)
Ag1 0.000 0.000 0.500 (multiplicity 1)
Br1 0.500 0.500 0.000 (multiplicity 1)


No. 5
An optimized crystal structure of TlAg2Br, computed with PBE.

a = 3.528 Å, b = 3.528 Å, c = 7.885 Å
α = 90.00°, β = 90.00°, γ = 90.00°
Space group P4mm (No. 99)
One atom of each set of equivalent atoms:
Tl1 0.000 0.000 0.000 (multiplicity 1)
Ag1 0.000 0.000 0.470 (multiplicity 1)
Ag2 0.500 0.500 0.281 (multiplicity 1)
Br1 0.500 0.500 0.696 (multiplicity 1)


No. 6
An optimized crystal structure of TlAg2Br, computed with PBE.

a = 7.449 Å, b = 7.449 Å, c = 7.449 Å
α = 90.00°, β = 90.00°, γ = 90.00°
Space group F-43m (No. 216)
One atom of each set of equivalent atoms:
Tl1 0.000 0.000 0.000 (multiplicity 4)
Ag1 0.000 0.000 0.500 (multiplicity 4)
Ag2 0.250 0.250 0.250 (multiplicity 4)
Br1 0.250 0.250 0.750 (multiplicity 4)


No. 7
An optimized crystal structure of Tl2Ag2Br, computed with PBE.

a = 3.959 Å, b = 3.959 Å, c = 18.158 Å
α = 90.00°, β = 90.00°, γ = 90.00°
Space group I4/mmm (No. 139)
One atom of each set of equivalent atoms:
Tl1 0.000 0.000 0.108 (multiplicity 4)
Ag1 0.000 0.500 0.250 (multiplicity 4)
Br1 0.000 0.000 0.500 (multiplicity 2)


No. 8
An optimized crystal structure of Tl5AgBr7, computed with PBE.

a = 16.032 Å, b = 4.409 Å, c = 27.339 Å
α = 90.00°, β = 94.91°, γ = 90.00°
Space group Cm (No. 8)
One atom of each set of equivalent atoms:
Tl1 0.000 0.000 0.000 (multiplicity 2)
Tl2 0.001 0.000 0.500 (multiplicity 2)
Tl3 0.035 0.500 0.845 (multiplicity 2)
Tl4 0.080 0.500 0.661 (multiplicity 2)
Tl5 0.210 0.500 0.427 (multiplicity 2)
Tl6 0.228 0.500 0.072 (multiplicity 2)
Tl7 0.276 0.000 0.914 (multiplicity 2)
Tl8 0.292 0.000 0.572 (multiplicity 2)
Tl9 0.423 0.000 0.339 (multiplicity 2)
Tl10 0.467 0.000 0.150 (multiplicity 2)
Ag1 0.151 0.000 0.294 (multiplicity 2)
Ag2 0.349 0.500 0.704 (multiplicity 2)
Br1 0.059 0.500 0.255 (multiplicity 2)
Br2 0.064 0.000 0.387 (multiplicity 2)
Br3 0.100 0.000 0.107 (multiplicity 2)
Br4 0.133 0.500 0.945 (multiplicity 2)
Br5 0.142 0.500 0.548 (multiplicity 2)
Br6 0.143 0.000 0.815 (multiplicity 2)
Br7 0.240 0.000 0.684 (multiplicity 2)
Br8 0.264 0.500 0.317 (multiplicity 2)
Br9 0.336 0.500 0.169 (multiplicity 2)
Br10 0.361 0.000 0.457 (multiplicity 2)
Br11 0.364 0.000 0.027 (multiplicity 2)
Br12 0.419 0.500 0.880 (multiplicity 2)
Br13 0.437 0.000 0.753 (multiplicity 2)
Br14 0.439 0.500 0.619 (multiplicity 2)


For each record above, in turn, the calculated mass density values are 5.002 5.288 4.661 7.748 8.459 8.035 8.220 5.827 g/cm³.
For each record above, in turn, the calculated formation energy (no corrections) values are -0.46 -0.40 -0.25 -0.24 -0.03 0.15 -0.13 -0.68 eV per atom.